This record from Alexandria via LeMat-Bulk describes a geometry-optimized CaNiSe2O6 structure. The functional is PBE with a Hubbard U.

Results
Final energy in eV/atom: -5.372
N(E_F) in states/eV/atom: 0.00

```
CaNiSe2O6
1.0
-3.4777 -3.7655 1.4129
1.7344 -4.5730 2.0854
-0.8932 -0.6028 6.1989
Ca Ni Se O
1 1 2 6
Direct
0.0000 0.0000 0.0000
0.5000 0.5000 0.5000
0.7216 0.7216 0.8353
0.2784 0.2784 0.1647
0.0740 0.4615 0.7197
0.7449 0.0740 0.7197
0.5385 0.2551 0.2803
0.9260 0.5385 0.2803
0.2551 0.9260 0.2803
0.4615 0.7449 0.7197
```